1.
First-principles (PBE-GGA) data for a relaxed structure of K2PaAlTe5, as listed in Alexandria.

raw formation energy: -7.5 eV/f.u.
Fermi-level density of states: 0.1672 states/eV per atom
space-group type: Cmc2_1

Cell lengths 10.7166, 10.7166, 15.0915 Å; angles 90.00, 90.00, 156.12 degrees
Fractional positions:
1 K 0.1140 0.8860 0.5000
2 K 0.1190 0.8810 0.8513
3 K 0.8810 0.1190 0.3513
4 K 0.8860 0.1140 0.0000
5 Pa 0.2053 0.7947 0.1969
6 Pa 0.7947 0.2053 0.6969
7 Al 0.4307 0.5693 0.5888
8 Al 0.5693 0.4307 0.0888
9 Te 0.0559 0.9441 0.1964
10 Te 0.3009 0.6991 0.8314
11 Te 0.3036 0.6964 0.5539
12 Te 0.3405 0.6595 0.1758
13 Te 0.4918 0.5082 0.4447
14 Te 0.5082 0.4918 0.9447
15 Te 0.6595 0.3405 0.6758
16 Te 0.6964 0.3036 0.0539
17 Te 0.6991 0.3009 0.3314
18 Te 0.9441 0.0559 0.6964

***

2.
First-principles (PBE-GGA) data for a relaxed structure of Tl3AgS4, as listed in Alexandria.

raw formation energy: -0.8 eV/f.u.
Fermi-level density of states: 0.4974 states/eV per atom
space-group type: P-43m

Cell lengths 6.1893, 6.1893, 6.1893 Å; angles 90.00, 90.00, 90.00 degrees
Fractional positions:
1 Tl 0.0000 0.0000 0.5000
2 Tl 0.0000 0.5000 0.0000
3 Tl 0.5000 0.0000 0.0000
4 Ag 0.5000 0.5000 0.5000
5 S 0.2568 0.2568 0.7432
6 S 0.2568 0.7432 0.2568
7 S 0.7432 0.2568 0.2568
8 S 0.7432 0.7432 0.7432

***

3.
First-principles (PBE-GGA) data for a relaxed structure of Ba2Bi6Pd, as listed in Alexandria.

uncorrected energy: -4.0653 eV per atom
Fermi-level density of states: 0.7291 states/eV per atom
space-group type: C2/m

Cell lengths 7.2747, 7.2747, 6.4995 Å; angles 90.01, 90.01, 60.01 degrees
Fractional positions:
1 Ba 0.1674 0.1674 0.2096
2 Ba 0.8326 0.8326 0.7904
3 Bi 0.1510 0.6754 0.2917
4 Bi 0.3254 0.3254 0.7084
5 Bi 0.3246 0.8490 0.7083
6 Bi 0.6754 0.1510 0.2917
7 Bi 0.6746 0.6746 0.2916
8 Bi 0.8490 0.3246 0.7083
9 Pd 0.5000 0.5000 0.0000

***

4.
First-principles (PBE-GGA) data for a relaxed structure of LiY2HoSe4, as listed in Alexandria.

raw formation energy: -14.0 eV/f.u.
Fermi-level density of states: 0.3455 states/eV per atom
space-group type: P2/m

Cell lengths 7.0088, 4.0395, 7.0169 Å; angles 90.00, 109.27, 90.00 degrees
Fractional positions:
1 Li 0.0000 0.0000 0.0000
2 Y 0.0000 0.5000 0.5000
3 Y 0.5000 0.0000 0.5000
4 Ho 0.5000 0.5000 0.0000
5 Se 0.2432 0.5000 0.2414
6 Se 0.2461 0.0000 0.7574
7 Se 0.7539 0.0000 0.2426
8 Se 0.7568 0.5000 0.7586

***

5.
First-principles (PBE-GGA) data for a relaxed structure of MgH2Os, as listed in Alexandria.

uncorrected energy: -4.0582 eV per atom
Fermi-level density of states: 0.2863 states/eV per atom
space-group type: Fm-3m

Cell lengths 5.3100, 5.3100, 5.3100 Å; angles 90.00, 90.00, 90.00 degrees
Fractional positions:
1 Mg 0.0000 0.0000 0.0000
2 Mg 0.0000 0.5000 0.5000
3 Mg 0.5000 0.0000 0.5000
4 Mg 0.5000 0.5000 0.0000
5 H 0.2500 0.2500 0.2500
6 H 0.2500 0.2500 0.7500
7 H 0.2500 0.7500 0.2500
8 H 0.2500 0.7500 0.7500
9 H 0.7500 0.2500 0.2500
10 H 0.7500 0.2500 0.7500
11 H 0.7500 0.7500 0.2500
12 H 0.7500 0.7500 0.7500
13 Os 0.0000 0.0000 0.5000
14 Os 0.0000 0.5000 0.0000
15 Os 0.5000 0.0000 0.0000
16 Os 0.5000 0.5000 0.5000

***

6.
First-principles (PBE-GGA) data for a relaxed structure of Pm4InPt2, as listed in Alexandria.

uncorrected energy: -5.4946 eV per atom
Fermi-level density of states: 0.8880 states/eV per atom
space-group type: Fddd

Cell lengths 9.5873, 8.5199, 7.9314 Å; angles 71.19, 57.27, 51.54 degrees
Fractional positions:
1 Pm 0.1390 0.2722 0.3148
2 Pm 0.2260 0.6852 0.7278
3 Pm 0.2722 0.1390 0.7740
4 Pm 0.3148 0.7740 0.1390
5 Pm 0.6852 0.2260 0.8610
6 Pm 0.7278 0.8610 0.2260
7 Pm 0.7740 0.3148 0.2722
8 Pm 0.8610 0.7278 0.6852
9 In 0.3750 0.3750 0.3750
10 In 0.6250 0.6250 0.6250
11 Pt 0.0000 0.0000 0.0000
12 Pt 0.0000 0.0000 0.5000
13 Pt 0.0000 0.5000 0.0000
14 Pt 0.5000 0.0000 0.0000

***

7.
First-principles (PBE-GGA) data for a relaxed structure of Ce2DyPa, as listed in Alexandria.

uncorrected energy: -6.3154 eV per atom
Fermi-level density of states: 2.6797 states/eV per atom
space-group type: P4/mmm

Cell lengths 4.7997, 4.7997, 4.7119 Å; angles 90.00, 90.00, 90.00 degrees
Fractional positions:
1 Ce 0.0000 0.5000 0.0000
2 Ce 0.5000 0.0000 0.0000
3 Dy 0.0000 0.0000 0.5000
4 Pa 0.5000 0.5000 0.5000

***

8.
First-principles (PBE-GGA) data for a relaxed structure of NaGa3Ir, as listed in Alexandria.

uncorrected energy: -4.1631 eV per atom
Fermi-level density of states: 0.2440 states/eV per atom
space-group type: Pnma

Cell lengths 8.8869, 4.3254, 10.2717 Å; angles 90.00, 90.00, 90.00 degrees
Fractional positions:
1 Na 0.1957 0.2500 0.0264
2 Na 0.3043 0.7500 0.5264
3 Na 0.6957 0.2500 0.4736
4 Na 0.8043 0.7500 0.9736
5 Ga 0.0438 0.2500 0.5836
6 Ga 0.1012 0.7500 0.7930
7 Ga 0.2089 0.7500 0.2433
8 Ga 0.2911 0.2500 0.7433
9 Ga 0.3988 0.2500 0.2930
10 Ga 0.4562 0.7500 0.0836
11 Ga 0.5438 0.2500 0.9164
12 Ga 0.6012 0.7500 0.7070
13 Ga 0.7089 0.7500 0.2567
14 Ga 0.7911 0.2500 0.7567
15 Ga 0.8988 0.2500 0.2070
16 Ga 0.9562 0.7500 0.4164
17 Ir 0.1239 0.2500 0.3423
18 Ir 0.3761 0.7500 0.8423
19 Ir 0.6239 0.2500 0.1577
20 Ir 0.8761 0.7500 0.6577

***

9.
First-principles (PBE-GGA) data for a relaxed structure of PtW2, as listed in Alexandria.

uncorrected energy: -10.6335 eV per atom
Fermi-level density of states: 1.0251 states/eV per atom
space-group type: Cmcm

Cell lengths 2.7545, 14.9069, 4.6371 Å; angles 90.00, 90.00, 90.00 degrees
Fractional positions:
1 Pt 0.0000 0.1084 0.2500
2 Pt 0.0000 0.8916 0.7500
3 Pt 0.5000 0.3916 0.7500
4 Pt 0.5000 0.6085 0.2500
5 W 0.0000 0.2272 0.7500
6 W 0.0000 0.4434 0.2500
7 W 0.0000 0.5566 0.7500
8 W 0.0000 0.7728 0.2500
9 W 0.5000 0.0566 0.7500
10 W 0.5000 0.2728 0.2500
11 W 0.5000 0.7272 0.7500
12 W 0.5000 0.9434 0.2500

***

10.
First-principles (PBE-GGA) data for a relaxed structure of TmAlPbO4, as listed in Alexandria.

raw formation energy: -18.0 eV/f.u.
Fermi-level density of states: 0.0000 states/eV per atom
space-group type: P2_1/m

Cell lengths 5.7721, 5.6922, 6.9443 Å; angles 90.00, 103.55, 90.00 degrees
Fractional positions:
1 Tm 0.1905 0.2500 0.0654
2 Tm 0.8095 0.7500 0.9346
3 Al 0.2841 0.7500 0.8432
4 Al 0.7159 0.2500 0.1568
5 Pb 0.2952 0.2500 0.6121
6 Pb 0.7048 0.7500 0.3879
7 O 0.0760 0.5146 0.8233
8 O 0.0760 0.9854 0.8233
9 O 0.4815 0.7500 0.0797
10 O 0.4821 0.7500 0.6843
11 O 0.5179 0.2500 0.3157
12 O 0.5185 0.2500 0.9203
13 O 0.9240 0.0146 0.1767
14 O 0.9240 0.4854 0.1767

***

11.
First-principles (PBE-GGA) data for a relaxed structure of AgAuCl, as listed in Alexandria.

raw formation energy: 0.0 eV/f.u.
Fermi-level density of states: 0.2268 states/eV per atom
space-group type: Amm2

Cell lengths 11.7778, 3.5993, 5.7672 Å; angles 90.00, 90.00, 90.00 degrees
Fractional positions:
1 Ag 0.0000 0.0000 0.0000
2 Ag 0.0000 0.5000 0.5000
3 Ag 0.5000 0.0000 0.1476
4 Ag 0.5000 0.5000 0.6476
5 Au 0.3347 0.0000 0.7853
6 Au 0.3347 0.5000 0.2853
7 Au 0.6653 0.0000 0.7853
8 Au 0.6653 0.5000 0.2853
9 Cl 0.1610 0.0000 0.3416
10 Cl 0.1610 0.5000 0.8416
11 Cl 0.8390 0.0000 0.3416
12 Cl 0.8390 0.5000 0.8416

***

12.
First-principles (PBE-GGA) data for a relaxed structure of NaTc2PSe, as listed in Alexandria.

raw formation energy: 2.7 eV/f.u.
Fermi-level density of states: 0.9248 states/eV per atom
space-group type: P4/mmm

Cell lengths 4.4375, 4.4375, 5.0094 Å; angles 90.00, 90.00, 90.00 degrees
Fractional positions:
1 Na 0.0000 0.0000 0.0000
2 Tc 0.0000 0.5000 0.5000
3 Tc 0.5000 0.0000 0.5000
4 P 0.0000 0.0000 0.5000
5 Se 0.5000 0.5000 0.0000

***

13.
First-principles (PBE-GGA) data for a relaxed structure of In3SnPb, as listed in Alexandria.

uncorrected energy: -2.7330 eV per atom
Fermi-level density of states: 1.2564 states/eV per atom
space-group type: Pm-3m

Cell lengths 5.6607, 5.6607, 5.6607 Å; angles 90.00, 90.00, 90.00 degrees
Fractional positions:
1 In 0.0000 0.0000 0.5000
2 In 0.0000 0.5000 0.0000
3 In 0.5000 0.0000 0.0000
4 Sn 0.0000 0.0000 0.0000
5 Pb 0.5000 0.5000 0.5000

***

14.
First-principles (PBE-GGA) data for a relaxed structure of CaIrSe2Br, as listed in Alexandria.

raw formation energy: -1.9 eV/f.u.
Fermi-level density of states: 0.9222 states/eV per atom
space-group type: P4/mmm

Cell lengths 4.9829, 4.9829, 5.1126 Å; angles 90.00, 90.00, 90.00 degrees
Fractional positions:
1 Ca 0.0000 0.0000 0.0000
2 Ir 0.5000 0.5000 0.5000
3 Se 0.0000 0.5000 0.5000
4 Se 0.5000 0.0000 0.5000
5 Br 0.5000 0.5000 0.0000

***

15.
First-principles (PBE-GGA) data for a relaxed structure of PaSnPd6, as listed in Alexandria.

uncorrected energy: -6.2380 eV per atom
Fermi-level density of states: 0.5160 states/eV per atom
space-group type: P4/mmm

Cell lengths 4.1195, 4.1195, 8.1155 Å; angles 90.00, 90.00, 90.00 degrees
Fractional positions:
1 Pa 0.0000 0.0000 0.0000
2 Sn 0.0000 0.0000 0.5000
3 Pd 0.0000 0.5000 0.2471
4 Pd 0.0000 0.5000 0.7529
5 Pd 0.5000 0.0000 0.2471
6 Pd 0.5000 0.0000 0.7529
7 Pd 0.5000 0.5000 0.0000
8 Pd 0.5000 0.5000 0.5000

***

16.
First-principles (PBE-GGA) data for a relaxed structure of BiAs2Ru, as listed in Alexandria.

uncorrected energy: -5.4516 eV per atom
Fermi-level density of states: 0.9481 states/eV per atom
space-group type: I-42d

Cell lengths 6.0971, 6.0971, 11.6357 Å; angles 90.00, 90.00, 90.00 degrees
Fractional positions:
1 Bi 0.0000 0.0000 0.0000
2 Bi 0.0000 0.5000 0.2500
3 Bi 0.5000 0.0000 0.7500
4 Bi 0.5000 0.5000 0.5000
5 As 0.1776 0.2500 0.6250
6 As 0.2500 0.6776 0.8750
7 As 0.2500 0.8224 0.3750
8 As 0.3224 0.2500 0.1250
9 As 0.6776 0.7500 0.1250
10 As 0.7500 0.1776 0.3750
11 As 0.7500 0.3224 0.8750
12 As 0.8224 0.7500 0.6250
13 Ru 0.0000 0.0000 0.5000
14 Ru 0.0000 0.5000 0.7500
15 Ru 0.5000 0.0000 0.2500
16 Ru 0.5000 0.5000 0.0000

***

17.
First-principles (PBE-GGA) data for a relaxed structure of MnAuCl3, as listed in Alexandria.

raw formation energy: -1.5 eV/f.u.
Fermi-level density of states: 0.2781 states/eV per atom
space-group type: Pm-3m

Cell lengths 4.8794, 4.8794, 4.8794 Å; angles 90.00, 90.00, 90.00 degrees
Fractional positions:
1 Mn 0.0000 0.0000 0.0000
2 Au 0.5000 0.5000 0.5000
3 Cl 0.0000 0.0000 0.5000
4 Cl 0.0000 0.5000 0.0000
5 Cl 0.5000 0.0000 0.0000

***

18.
First-principles (PBE-GGA) data for a relaxed structure of MnInW2, as listed in Alexandria.

uncorrected energy: -9.0454 eV per atom
Fermi-level density of states: 0.8989 states/eV per atom
space-group type: Pmmm

Cell lengths 3.4316, 4.2617, 4.4710 Å; angles 90.00, 90.00, 90.00 degrees
Fractional positions:
1 Mn 0.0000 0.0000 0.0000
2 In 0.5000 0.5000 0.0000
3 W 0.0000 0.5000 0.5000
4 W 0.5000 0.0000 0.5000

***

19.
First-principles (PBE-GGA) data for a relaxed structure of TaReTe, as listed in Alexandria.

raw formation energy: 1.1 eV/f.u.
Fermi-level density of states: 0.3185 states/eV per atom
space-group type: P-6m2

Cell lengths 4.5121, 4.5121, 3.0958 Å; angles 90.00, 90.00, 120.00 degrees
Fractional positions:
1 Ta 0.0000 0.0000 0.0000
2 Re 0.6667 0.3333 0.5000
3 Te 0.3333 0.6667 0.5000

***

20.
First-principles (PBE-GGA) data for a relaxed structure of NaBiAsSe2, as listed in Alexandria.

raw formation energy: 3.1 eV/f.u.
Fermi-level density of states: 1.2842 states/eV per atom
space-group type: P4/mmm

Cell lengths 5.1223, 5.1223, 5.0371 Å; angles 90.00, 90.00, 90.00 degrees
Fractional positions:
1 Na 0.0000 0.0000 0.0000
2 Bi 0.5000 0.5000 0.5000
3 As 0.0000 0.0000 0.5000
4 Se 0.0000 0.5000 0.0000
5 Se 0.5000 0.0000 0.0000

***

| no. | size of the total moment (μB/cell) | calculated density (Mg/m³) |
| --- | --- | --- |
| 1 | 0.27 | 4.611 |
| 2 | 0.00 | 5.948 |
| 3 | 0.00 | 9.113 |
| 4 | 0.00 | 5.893 |
| 5 | 0.00 | 9.607 |
| 6 | 0.00 | 8.445 |
| 7 | 0.00 | 10.307 |
| 8 | 0.00 | 7.139 |
| 9 | 0.00 | 19.632 |
| 10 | 0.00 | 6.994 |
| 11 | 0.00 | 9.245 |
| 12 | 1.75 | 5.537 |
| 13 | 0.00 | 6.137 |
| 14 | 0.00 | 6.150 |
| 15 | 0.00 | 11.916 |
| 16 | 0.00 | 7.062 |
| 17 | 4.75 | 5.121 |
| 18 | 2.61 | 13.649 |
| 19 | 0.00 | 15.051 |
| 20 | 0.00 | 5.840 |